[1]
# CaYBiPd GGA-PBE relaxed
data_CaYBiPd
_symmetry_space_group_name_H-M 'P 1'
_symmetry_Int_Tables_number 1
_symmetry_space_group_name_Hall 'P 1'
_cell_length_a 5.255
_cell_length_b 5.255
_cell_length_c 5.255
_cell_angle_alpha 60.00
_cell_angle_beta 60.00
_cell_angle_gamma 60.00
loop_
_atom_site_label
_atom_site_type_symbol
_atom_site_fract_x
_atom_site_fract_y
_atom_site_fract_z
_atom_site_occupancy
Y1 Y 0.000 0.000 0.000 1
Ca1 Ca 0.500 0.500 0.500 1
Bi1 Bi 0.250 0.250 0.250 1
Pd1 Pd 0.750 0.750 0.750 1
# SG = F-43m
# D(E_F) = 0.39 states/eV/atom
# Density = 7.19 g/cm³



[2]
# CaPm4Bi5 GGA-PBE relaxed
data_CaPm4Bi5
_symmetry_space_group_name_H-M 'P 1'
_symmetry_Int_Tables_number 1
_symmetry_space_group_name_Hall 'P 1'
_cell_length_a 4.584
_cell_length_b 4.584
_cell_length_c 16.583
_cell_angle_alpha 97.94
_cell_angle_beta 97.94
_cell_angle_gamma 90.00
loop_
_atom_site_label
_atom_site_type_symbol
_atom_site_fract_x
_atom_site_fract_y
_atom_site_fract_z
_atom_site_occupancy
Ca1 Ca 0.000 0.000 0.000 1
Pm1 Pm 0.401 0.401 0.802 1
Pm2 Pm 0.800 0.800 0.600 1
Pm3 Pm 0.200 0.200 0.400 1
Pm4 Pm 0.599 0.599 0.198 1
Bi1 Bi 0.101 0.101 0.202 1
Bi2 Bi 0.500 0.500 0.000 1
Bi3 Bi 0.899 0.899 0.798 1
Bi4 Bi 0.300 0.300 0.600 1
Bi5 Bi 0.700 0.700 0.400 1
# SG = I4/mmm
# D(E_F) = 0.55 states/eV/atom
# Density = 8.09 g/cm³



[3]
# CaPm3Bi4 GGA-PBE relaxed
data_CaPm3Bi4
_symmetry_space_group_name_H-M 'P 1'
_symmetry_Int_Tables_number 1
_symmetry_space_group_name_Hall 'P 1'
_cell_length_a 4.568
_cell_length_b 7.968
_cell_length_c 7.968
_cell_angle_alpha 109.26
_cell_angle_beta 90.00
_cell_angle_gamma 90.00
loop_
_atom_site_label
_atom_site_type_symbol
_atom_site_fract_x
_atom_site_fract_y
_atom_site_fract_z
_atom_site_occupancy
Ca1 Ca 0.500 0.000 0.000 1
Pm1 Pm 0.000 0.000 0.500 1
Pm2 Pm 0.500 0.500 0.500 1
Pm3 Pm 0.000 0.500 0.000 1
Bi1 Bi 0.000 0.252 0.252 1
Bi2 Bi 0.500 0.749 0.251 1
Bi3 Bi 0.000 0.748 0.748 1
Bi4 Bi 0.500 0.251 0.749 1
# SG = Cmmm
# D(E_F) = 0.50 states/eV/atom
# Density = 7.95 g/cm³



Number 1: energy of formation -16.40 kcal/mol of atoms. Number 2: energy of formation -20.04 kcal/mol of atoms. Number 3: energy of formation -19.78 kcal/mol of atoms.